Record 1
A relaxed Li2AuS crystal. Source: Alexandria via LeMat-Bulk, functional PBE.

Computed properties:
density of states at the Fermi level = 4.70 states/eV per cell
mass density = 5.42 g/cm³
raw formation energy = -0.430 eV/atom

Cell: 4.416 4.416 15.258 Å, 90.00 90.00 90.00°
Space group I-42d (No. 122)
Inequivalent atoms, fractional coordinates:
1 Li 0.194 0.250 0.125 x8
2 Au 0.000 0.000 0.500 x4
3 S 0.000 0.000 0.000 x4


Record 2
A relaxed HfAg2Te crystal. Source: Alexandria via LeMat-Bulk, functional PBE.

Computed properties:
density of states at the Fermi level = 1.10 states/eV per cell
mass density = 9.61 g/cm³
raw formation energy = 0.092 eV/atom

Cell: 8.010 8.010 5.621 Å, 90.00 90.00 90.00°
Space group I-42d (No. 122)
Inequivalent atoms, fractional coordinates:
1 Hf 0.000 0.000 0.000 x4
2 Ag 0.247 0.250 0.625 x8
3 Te 0.000 0.000 0.500 x4


Record 3
A relaxed DyIn12Hg6 crystal. Source: Alexandria via LeMat-Bulk, functional PBE.

Computed properties:
formation energy = -38 meV/atom
density of states at the Fermi level = 25.09 states/eV per cell
mass density = 8.91 g/cm³

Cell: 13.6483 13.6483 9.5137 Å, 90.00 90.00 120.00°
Space group R-3 (No. 148, hexagonal axes)
Inequivalent atoms, fractional coordinates:
1 Dy 0.0000 0.0000 0.0000 x3
2 In 0.0032 0.7610 0.9568 x18
3 In 0.0761 0.2564 0.4427 x18
4 Hg 0.0403 0.1576 0.7375 x18


Record 4
A relaxed K2LaSe crystal. Source: Alexandria via LeMat-Bulk, functional PBE.

Computed properties:
density of states at the Fermi level = 2.48 states/eV per cell
mass density = 3.48 g/cm³
raw formation energy = -0.379 eV/atom

Cell: 4.604 4.641 6.615 Å, 90.00 90.00 90.00°
Space group Pmmm (No. 47)
Inequivalent atoms, fractional coordinates:
1 K 0.000 0.000 0.000 x1
2 K 0.500 0.500 0.000 x1
3 La 0.000 0.500 0.500 x1
4 Se 0.500 0.000 0.500 x1


Record 5
A relaxed RbTi3Os crystal. Source: Alexandria via LeMat-Bulk, functional PBE.

Computed properties:
formation energy = 2342 meV/atom
density of states at the Fermi level = 8.41 states/eV per cell
mass density = 7.36 g/cm³

Cell: 4.556 4.556 4.556 Å, 90.00 90.00 90.00°
Space group Pm-3m (No. 221)
Inequivalent atoms, fractional coordinates:
1 Rb 0.000 0.000 0.000 x1
2 Ti 0.000 0.000 0.500 x3
3 Os 0.500 0.500 0.500 x1


Record 6
A relaxed TaTi2Tl crystal. Source: Alexandria via LeMat-Bulk, functional PBE.

Computed properties:
formation energy = 662 meV/atom
density of states at the Fermi level = 14.39 states/eV per cell
mass density = 9.89 g/cm³

Cell: 4.023 4.023 19.950 Å, 90.00 90.00 90.00°
Space group I-42d (No. 122)
Inequivalent atoms, fractional coordinates:
1 Ta 0.000 0.000 0.000 x4
2 Ti 0.236 0.250 0.125 x8
3 Tl 0.000 0.000 0.500 x4


Record 7
A relaxed BaTlSb2 crystal. Source: Alexandria via LeMat-Bulk, functional PBE.

Computed properties:
density of states at the Fermi level = 0.97 states/eV per cell
mass density = 7.12 g/cm³
raw formation energy = -0.304 eV/atom

Cell: 3.661 3.661 10.182 Å, 90.00 90.00 90.00°
Space group P4/mmm (No. 123)
Inequivalent atoms, fractional coordinates:
1 Ba 0.000 0.000 0.000 x1
2 Tl 0.000 0.000 0.500 x1
3 Sb 0.500 0.500 0.251 x2


Record 8
A relaxed ZnSiSe2 crystal. Source: Alexandria via LeMat-Bulk, functional PBE.

Computed properties:
density of states at the Fermi level = 1.54 states/eV per cell
mass density = 5.17 g/cm³
raw formation energy = 0.025 eV/atom

Cell: 3.546 3.581 12.725 Å, 90.00 90.00 90.00°
Space group Imm2 (No. 44)
Inequivalent atoms, fractional coordinates:
1 Zn 0.000 0.000 0.000 x2
2 Si 0.000 0.500 0.242 x2
3 Se 0.000 0.000 0.582 x2
4 Se 0.000 0.500 0.830 x2


Record 9
A relaxed Cs2Mn2Cl7 crystal. Source: Alexandria via LeMat-Bulk, functional PBE.

Computed properties:
density of states at the Fermi level = 4.27 states/eV per cell
mass density = 2.33 g/cm³
raw formation energy = -1.377 eV/atom

Cell: 10.692 14.262 5.865 Å, 90.00 96.07 90.00°
Space group C2/m (No. 12)
Inequivalent atoms, fractional coordinates:
1 Cs 0.000 0.202 0.000 x4
2 Mn 0.214 0.500 0.436 x4
3 Cl 0.000 0.500 0.500 x2
4 Cl 0.127 0.000 0.276 x4
5 Cl 0.226 0.356 0.279 x8


Record 10
A relaxed MnReSe2 crystal. Source: Alexandria via LeMat-Bulk, functional PBE.

Computed properties:
density of states at the Fermi level = 6.39 states/eV per cell
mass density = 8.88 g/cm³
raw formation energy = 0.332 eV/atom

Cell: 3.151 4.939 9.590 Å, 90.00 90.00 90.00°
Space group Cmm2 (No. 35)
Inequivalent atoms, fractional coordinates:
1 Mn 0.000 0.000 0.000 x2
2 Re 0.000 0.500 0.780 x2
3 Se 0.000 0.000 0.575 x2
4 Se 0.000 0.500 0.197 x2


Record 11
A relaxed La2PrInC crystal. Source: Alexandria via LeMat-Bulk, functional PBE.

Computed properties:
formation energy = -314 meV/atom
density of states at the Fermi level = 2.76 states/eV per cell
mass density = 6.37 g/cm³

Cell: 5.215 5.215 5.232 Å, 90.00 90.00 90.00°
Space group P4/mmm (No. 123)
Inequivalent atoms, fractional coordinates:
1 La 0.000 0.500 0.000 x2
2 Pr 0.000 0.000 0.500 x1
3 In 0.500 0.500 0.500 x1
4 C 0.000 0.000 0.000 x1


Record 12
A relaxed MnRe3 crystal. Source: Alexandria via LeMat-Bulk, functional PBE.

Computed properties:
formation energy = 101 meV/atom
density of states at the Fermi level = 8.02 states/eV per cell
mass density = 17.78 g/cm³

Cell: 5.454 7.668 2.740 Å, 90.00 90.00 90.00°
Space group Cmmm (No. 65)
Inequivalent atoms, fractional coordinates:
1 Mn 0.000 0.000 0.000 x2
2 Re 0.000 0.500 0.000 x2
3 Re 0.250 0.250 0.500 x4


Record 13
A relaxed Pm2Pr5Ho5 crystal. Source: Alexandria via LeMat-Bulk, functional PBE.

Computed properties:
formation energy = 18 meV/atom
density of states at the Fermi level = 35.39 states/eV per cell
mass density = 7.48 g/cm³

Cell: 15.386 5.111 11.496 Å, 90.00 116.63 90.00°
Space group C2/m (No. 12)
Inequivalent atoms, fractional coordinates:
1 Pm 0.083 0.000 0.252 x4
2 Pr 0.000 0.000 0.500 x2
3 Pr 0.165 0.000 0.998 x4
4 Pr 0.249 0.000 0.747 x4
5 Ho 0.000 0.500 0.000 x2
6 Ho 0.082 0.500 0.749 x4
7 Ho 0.167 0.500 0.501 x4


Record 14
A relaxed NiPtSe2 crystal. Source: Alexandria via LeMat-Bulk, functional PBE.

Computed properties:
density of states at the Fermi level = 1.84 states/eV per cell
mass density = 10.64 g/cm³
raw formation energy = 0.193 eV/atom

Cell: 4.472 4.472 3.213 Å, 90.00 90.00 90.00°
Space group P4/mmm (No. 123)
Inequivalent atoms, fractional coordinates:
1 Ni 0.000 0.000 0.000 x1
2 Pt 0.500 0.500 0.000 x1
3 Se 0.000 0.500 0.500 x2


Record 15
A relaxed LiIr2C crystal. Source: Alexandria via LeMat-Bulk, functional PBE.

Computed properties:
formation energy = 837 meV/atom
density of states at the Fermi level = 9.35 states/eV per cell
mass density = 15.59 g/cm³

Cell: 5.560 5.560 5.560 Å, 90.00 90.00 90.00°
Space group Fm-3m (No. 225)
Inequivalent atoms, fractional coordinates:
1 Li 0.000 0.000 0.000 x4
2 Ir 0.250 0.250 0.250 x8
3 C 0.000 0.000 0.500 x4


Record 16
A relaxed LaNdSc2Hg4 crystal. Source: Alexandria via LeMat-Bulk, functional PBE.

Computed properties:
formation energy = -416 meV/atom
density of states at the Fermi level = 28.50 states/eV per cell
mass density = 9.46 g/cm³

Cell: 5.2624 5.2624 25.8011 Å, 90.00 90.00 120.00°
Space group R-3m (No. 166, hexagonal axes)
Inequivalent atoms, fractional coordinates:
1 La 0.0000 0.0000 0.0000 x3
2 Nd 0.0000 0.0000 0.5000 x3
3 Sc 0.0000 0.0000 0.2493 x6
4 Hg 0.0000 0.0000 0.1263 x6
5 Hg 0.0000 0.0000 0.3764 x6


Record 17
A relaxed K3Ac2PbS6 crystal. Source: Alexandria via LeMat-Bulk, functional PBE.

Computed properties:
density of states at the Fermi level = 12.35 states/eV per cell
mass density = 4.40 g/cm³
raw formation energy = -1.460 eV/atom

Cell: 7.527 13.035 7.871 Å, 90.00 108.53 90.00°
Space group C2/m (No. 12)
Inequivalent atoms, fractional coordinates:
1 K 0.000 0.000 0.000 x2
2 K 0.000 0.337 0.000 x4
3 Ac 0.000 0.167 0.500 x4
4 Pb 0.000 0.500 0.500 x2
5 S 0.235 0.337 0.715 x8
6 S 0.244 0.000 0.714 x4


Record 18
A relaxed LiPt3S crystal. Source: Alexandria via LeMat-Bulk, functional PBE.

Computed properties:
density of states at the Fermi level = 10.05 states/eV per cell
mass density = 13.07 g/cm³
raw formation energy = 0.871 eV/atom

Cell: 4.297 4.297 4.297 Å, 90.00 90.00 90.00°
Space group Pm-3m (No. 221)
Inequivalent atoms, fractional coordinates:
1 Li 0.000 0.000 0.000 x1
2 Pt 0.000 0.000 0.500 x3
3 S 0.500 0.500 0.500 x1


Record 19
A relaxed MnBeTl2 crystal. Source: Alexandria via LeMat-Bulk, functional PBE.

Computed properties:
formation energy = 551 meV/atom
density of states at the Fermi level = 2.89 states/eV per cell
mass density = 9.96 g/cm³

Cell: 3.851 3.882 5.607 Å, 90.00 109.95 90.00°
Space group Pm (No. 6)
Inequivalent atoms, fractional coordinates:
1 Mn 0.000 0.000 0.000 x1
2 Be 0.869 0.500 0.741 x1
3 Tl 0.294 0.000 0.583 x1
4 Tl 0.592 0.500 0.186 x1


Record 20
A relaxed Cs2POsO6 crystal. Source: Alexandria via LeMat-Bulk, functional PBE.

Computed properties:
density of states at the Fermi level = 7.42 states/eV per cell
mass density = 5.87 g/cm³
raw formation energy = -1.206 eV/atom

Cell: 5.140 5.140 12.477 Å, 90.00 90.00 90.00°
Space group I4/m (No. 87)
Inequivalent atoms, fractional coordinates:
1 Cs 0.000 0.500 0.250 x4
2 P 0.000 0.000 0.000 x2
3 Os 0.000 0.000 0.500 x2
4 O 0.000 0.000 0.353 x4
5 O 0.154 0.716 0.000 x8


Record 21
A relaxed Ho2AgHg8 crystal. Source: Alexandria via LeMat-Bulk, functional PBE.

Computed properties:
formation energy = -180 meV/atom
density of states at the Fermi level = 11.68 states/eV per cell
mass density = 12.84 g/cm³

Cell: 17.158 4.774 6.792 Å, 90.00 108.21 90.00°
Space group C2/m (No. 12)
Inequivalent atoms, fractional coordinates:
1 Ho 0.212 0.000 0.192 x4
2 Ag 0.000 0.500 0.500 x2
3 Hg 0.021 0.000 0.234 x4
4 Hg 0.108 0.500 0.922 x4
5 Hg 0.147 0.500 0.387 x4
6 Hg 0.164 0.000 0.696 x4


Record 22
A relaxed TmNi6Ge6 crystal. Source: Alexandria via LeMat-Bulk, functional PBE.

Computed properties:
formation energy = -410 meV/atom
density of states at the Fermi level = 9.07 states/eV per cell
mass density = 8.78 g/cm³

Cell: 5.150 7.909 8.884 Å, 90.00 90.00 90.00°
Space group Immm (No. 71)
Inequivalent atoms, fractional coordinates:
1 Tm 0.000 0.000 0.000 x2
2 Ni 0.000 0.247 0.500 x4
3 Ni 0.250 0.250 0.250 x8
4 Ge 0.000 0.000 0.336 x4
5 Ge 0.000 0.345 0.000 x4
6 Ge 0.000 0.500 0.332 x4